No. 1
# Pr2Mg3Ge4

A geometry-optimized Pr2Mg3Ge4 structure (PBE-GGA, Alexandria via LeMat-Bulk).

abc: 8.564 8.564 8.169
angles: 90.00 90.00 137.94
Sites, in units of the cell vectors:
Pr 0.113 0.887 0.914
Pr 0.387 0.613 0.414
Pr 0.613 0.387 0.586
Pr 0.887 0.113 0.086
Mg 0.000 0.000 0.500
Mg 0.039 0.461 0.750
Mg 0.461 0.039 0.250
Mg 0.500 0.500 0.000
Mg 0.539 0.961 0.750
Mg 0.961 0.539 0.250
Ge 0.187 0.813 0.552
Ge 0.206 0.294 0.750
Ge 0.294 0.206 0.250
Ge 0.313 0.687 0.052
Ge 0.687 0.313 0.948
Ge 0.706 0.794 0.750
Ge 0.794 0.706 0.250
Ge 0.813 0.187 0.448

## Properties
Calculated formation energy ... -4.447 eV/f.u.

***

No. 2
# Hg4SbP

A geometry-optimized Hg4SbP structure (PBE-GGA, Alexandria via LeMat-Bulk).

abc: 5.942 5.942 5.942
angles: 60.00 60.00 60.00
Sites, in units of the cell vectors:
Hg 0.125 0.125 0.125
Hg 0.125 0.125 0.626
Hg 0.125 0.626 0.125
Hg 0.626 0.125 0.125
Sb 0.500 0.500 0.500
P 0.750 0.750 0.750

***

no.,density of states at the Fermi level (states/eV per cell),energy (eV/atom)
1,7.87,-4.140
2,5.65,-1.190